(1)
Compound: SmCdPbAu
Source: Alexandria via LeMat-Bulk
Functional: PBE
Structure: relaxed

a b c (Å): 7.3580 7.3580 7.3580
angles (deg): 90.00 90.00 90.00
With the nearest neighbours (Å) after each atom.
Space group F-43m (No. 216)
Unique sites:
Sm 0.0000 0.0000 0.0000  4 Au 3.19, 4 Cd 3.19
Cd 0.2500 0.2500 0.2500  4 Sm 3.19, 4 Pb 3.19
Pb 0.0000 0.0000 0.5000  4 Cd 3.19, 4 Au 3.19
Au 0.2500 0.2500 0.7500  4 Pb 3.19, 4 Sm 3.19

## Properties
* energy of formation from the pure elements: -0.388 eV/atom
* final energy: -56.7 eV for the cell shown
* crystal system: cubic



(2)
Compound: Cd2SnPbAu
Source: Alexandria via LeMat-Bulk
Functional: PBE
Structure: relaxed

a b c (Å): 5.5543 5.5543 5.1951
angles (deg): 90.00 90.00 90.00
With the nearest neighbours (Å) after each atom.
Space group P4/mmm (No. 123)
Unique sites:
Cd 0.0000 0.5000 0.0000  2 Sn 2.78
Sn 0.0000 0.0000 0.0000  2 Au 2.60, 4 Cd 2.78
Pb 0.5000 0.5000 0.5000  8 Cd 3.80, 4 Au 3.93
Au 0.0000 0.0000 0.5000  2 Sn 2.60

## Properties
* energy of formation from the pure elements: 0.384 eV/atom
* final energy: -10.9 eV for the cell shown
* crystal system: tetragonal



(3)
Compound: Sr2CdPbAu6
Source: Alexandria via LeMat-Bulk
Functional: PBE
Structure: relaxed

a b c (Å): 10.6258 10.6258 10.6258
angles (deg): 90.00 90.00 90.00
With the nearest neighbours (Å) after each atom.
Space group Fm-3m (No. 225)
Unique sites:
Sr 0.2500 0.2500 0.2500  12 Au 3.76
Cd 0.0000 0.0000 0.0000  6 Au 2.61
Pb 0.0000 0.0000 0.5000  6 Au 2.70
Au 0.0000 0.0000 0.2460  1 Cd 2.61, 1 Pb 2.70

## Properties
* energy of formation from the pure elements: -0.128 eV/atom
* final energy: -115.7 eV for the cell shown
* crystal system: cubic



(4)
Compound: Sr3Cd2Pb2Au4
Source: Alexandria via LeMat-Bulk
Functional: PBE
Structure: relaxed

a b c (Å): 4.9547 4.9547 14.6581
angles (deg): 90.00 90.00 120.00
With the nearest neighbours (Å) after each atom.
Space group P-3m1 (No. 164)
Unique sites:
Sr 0.0000 0.0000 0.0000  6 Au 3.45, 6 Cd 3.55
Sr 0.0000 0.0000 0.2693  6 Au 3.24-3.50, 3 Cd 3.40
Cd 0.3333 0.6667 0.1438  3 Au 2.87
Pb 0.3333 0.6667 0.5764  4 Au 2.96-2.98
Au 0.3333 0.6667 0.3729  4 Pb 2.96-2.98, 3 Sr 3.24
Au 0.3333 0.6667 0.8685  3 Cd 2.87

## Properties
* energy of formation from the pure elements: -0.482 eV/atom
* final energy: -32.7 eV for the cell shown
* crystal system: trigonal



(5)
Compound: Sr2CdPbAu
Source: Alexandria via LeMat-Bulk
Functional: PBE
Structure: relaxed

a b c (Å): 8.1643 4.9039 8.1712
angles (deg): 90.00 109.01 90.00
With the nearest neighbours (Å) after each atom.
Space group P2_1/m (No. 11)
Unique sites:
Sr 0.1298 0.2500 0.3479  3 Au 3.30-3.31, 3 Pb 3.52-3.67, 3 Cd 3.58-3.66
Sr 0.2990 0.2500 0.9528  3 Au 3.22-3.24, 2 Pb 3.47, 1 Cd 3.57
Cd 0.4409 0.7500 0.3232  1 Au 2.87, 3 Pb 3.10-3.20
Pb 0.3223 0.7500 0.6601  3 Cd 3.10-3.20
Au 0.1019 0.7500 0.0689  1 Cd 2.87, 2 Au 2.97

## Properties
* energy of formation from the pure elements: -0.580 eV/atom
* final energy: -28.3 eV for the cell shown
* crystal system: monoclinic



(6)
Compound: Sr2Cd4PbAu3
Source: Alexandria via LeMat-Bulk
Functional: PBE
Structure: relaxed

a b c (Å): 4.5485 4.5485 12.7879
angles (deg): 90.00 90.00 90.00
With the nearest neighbours (Å) after each atom.
Space group P-4m2 (No. 115)
Unique sites:
Sr 0.0000 0.5000 0.2376  4 Au 3.45, 8 Cd 3.54-3.80
Cd 0.0000 0.0000 0.0000  4 Au 2.89, 4 Cd 3.22
Cd 0.0000 0.5000 0.6469  3 Au 2.73-2.95, 2 Pb 2.95
Cd 0.5000 0.5000 0.0000  4 Au 2.89, 4 Cd 3.22
Pb 0.0000 0.0000 0.5000  4 Cd 2.95, 4 Au 3.22
Au 0.0000 0.5000 0.8607  5 Cd 2.73-2.89
Au 0.5000 0.5000 0.5000  4 Cd 2.95, 4 Pb 3.22

## Properties
* energy of formation from the pure elements: -0.400 eV/atom
* final energy: -24.6 eV for the cell shown
* crystal system: tetragonal



(7)
Compound: TbCdPbAu
Source: Alexandria via LeMat-Bulk
Functional: PBE
Structure: relaxed

a b c (Å): 7.2779 7.2779 7.2779
angles (deg): 90.00 90.00 90.00
With the nearest neighbours (Å) after each atom.
Space group F-43m (No. 216)
Unique sites:
Tb 0.0000 0.0000 0.0000  4 Au 3.15, 4 Pb 3.15
Cd 0.0000 0.0000 0.5000  4 Pb 3.15, 4 Au 3.15
Pb 0.2500 0.2500 0.2500  4 Cd 3.15, 4 Tb 3.15
Au 0.2500 0.2500 0.7500  4 Cd 3.15, 4 Tb 3.15

## Properties
* energy of formation from the pure elements: -0.401 eV/atom
* final energy: -56.5 eV for the cell shown
* crystal system: cubic



(8)
Compound: Tl2CdPbAu2
Source: Alexandria via LeMat-Bulk
Functional: PBE
Structure: relaxed

a b c (Å): 4.5495 8.9522 7.5250
angles (deg): 90.00 90.00 90.00
With the nearest neighbours (Å) after each atom.
Space group Pmc2_1 (No. 26)
Unique sites:
Tl 0.0000 0.0863 0.0000  3 Au 3.08-3.19, 2 Tl 3.43
Tl 0.5000 0.1760 0.3238  4 Au 3.01-3.11, 2 Cd 3.37
Cd 0.0000 0.3129 0.6106  4 Au 2.85-2.92
Pb 0.5000 0.4366 0.9475  5 Au 3.00-3.22
Au 0.0000 0.3846 0.2324  2 Cd 2.86-2.92, 3 Tl 3.02-3.19, 2 Pb 3.16
Au 0.5000 0.1523 0.7361  2 Cd 2.85, 1 Pb 3.00, 4 Tl 3.01-3.11

## Properties
* energy of formation from the pure elements: -0.068 eV/atom
* final energy: -32.6 eV for the cell shown
* crystal system: orthorhombic



(9)
Compound: TmCdPbAu
Source: Alexandria via LeMat-Bulk
Functional: PBE
Structure: relaxed

a b c (Å): 7.2203 7.2203 7.2203
angles (deg): 90.00 90.00 90.00
With the nearest neighbours (Å) after each atom.
Space group F-43m (No. 216)
Unique sites:
Tm 0.0000 0.0000 0.0000  4 Pb 3.13, 4 Au 3.13
Cd 0.0000 0.0000 0.5000  4 Au 3.13, 4 Pb 3.13
Pb 0.2500 0.2500 0.7500  4 Cd 3.13, 4 Tm 3.13
Au 0.2500 0.2500 0.2500  4 Tm 3.13, 4 Cd 3.13

## Properties
* energy of formation from the pure elements: -0.367 eV/atom
* final energy: -55.4 eV for the cell shown
* crystal system: cubic



(10)
Compound: UCdPbAu
Source: Alexandria via LeMat-Bulk
Functional: PBE
Structure: relaxed

a b c (Å): 7.2857 7.2857 7.2857
angles (deg): 90.00 90.00 90.00
With the nearest neighbours (Å) after each atom.
Space group F-43m (No. 216)
Unique sites:
U 0.0000 0.0000 0.0000  4 Au 3.15, 4 Pb 3.15
Cd 0.0000 0.0000 0.5000  4 Pb 3.15, 4 Au 3.15
Pb 0.2500 0.2500 0.7500  4 Cd 3.15, 4 U 3.15
Au 0.2500 0.2500 0.2500  4 Cd 3.15, 4 U 3.15

## Properties
* energy of formation from the pure elements: 0.067 eV/atom
* final energy: -75.7 eV for the cell shown
* crystal system: cubic



(11)
Compound: Zn3CdPb2Au12
Source: Alexandria via LeMat-Bulk
Functional: PBE
Structure: relaxed

a b c (Å): 8.6563 8.6563 18.8786
angles (deg): 90.00 90.00 120.00
With the nearest neighbours (Å) after each atom.
Space group R-3m (No. 166, hexagonal axes)
Unique sites:
Zn 0.0000 0.5000 0.0000  6 Au 2.58
Cd 0.0000 0.0000 0.5000  6 Au 2.76
Pb 0.0000 0.0000 0.1021  6 Au 2.84-2.92
Au 0.0165 0.5082 0.3782  2 Zn 2.58, 1 Pb 2.84
Au 0.0267 0.5133 0.8640  1 Zn 2.58, 1 Cd 2.76

## Properties
* energy of formation from the pure elements: 0.060 eV/atom
* final energy: -151.2 eV for the cell shown
* crystal system: trigonal



(12)
Compound: CdPd2Au2
Source: Alexandria via LeMat-Bulk
Functional: PBE
Structure: relaxed

a b c (Å): 4.4775 13.9645 5.6168
angles (deg): 90.00 90.00 90.00
With the nearest neighbours (Å) after each atom.
Space group Cmc2_1 (No. 36)
Unique sites:
Cd 0.0000 0.1080 0.0000  6 Pd 2.80-3.09, 7 Au 2.97-3.05
Pd 0.0000 0.1016 0.4989  3 Cd 2.80-2.93, 6 Au 2.90-3.04, 3 Pd 2.99-3.12
Pd 0.0000 0.3030 0.7382  5 Au 2.69-2.85, 2 Cd 2.89, 2 Pd 2.99
Au 0.0000 0.3044 0.2308  6 Pd 2.69-2.90, 1 Au 2.77, 2 Cd 2.97
Au 0.0000 0.4979 0.7596  5 Pd 2.72-3.04, 3 Au 2.77-2.81, 2 Cd 3.03

## Properties
* energy of formation from the pure elements: -0.182 eV/atom
* final energy: -75.1 eV for the cell shown
* excess energy over the best structure of this formula in the dataset: 0 meV/atom
* crystal system: orthorhombic



(13)
Compound: Cd6Pd2Au
Source: Alexandria via LeMat-Bulk
Functional: PBE
Structure: relaxed

a b c (Å): 14.2510 6.5123 4.6315
angles (deg): 90.00 106.76 90.00
With the nearest neighbours (Å) after each atom.
Space group C2/m (No. 12)
Unique sites:
Cd 0.0000 0.2426 0.0000  2 Pd 2.78, 2 Au 2.86
Cd 0.1702 0.2405 0.6743  3 Pd 2.79-2.80, 1 Au 2.87
Pd 0.1675 0.0000 0.1716  8 Cd 2.78-2.80
Au 0.0000 0.5000 0.5000  8 Cd 2.86-2.87

## Properties
* energy of formation from the pure elements: -0.189 eV/atom
* final energy: -41.7 eV for the cell shown
* excess energy over the best structure of this formula in the dataset: 30 meV/atom
* crystal system: monoclinic



(14)
Compound: Cd2Pd4Au3
Source: Alexandria via LeMat-Bulk
Functional: PBE
Structure: relaxed

a b c (Å): 12.5380 9.7731 5.2876
angles (deg): 90.00 99.61 90.00
With the nearest neighbours (Å) after each atom.
Space group C2/c (No. 15)
Unique sites:
Cd 0.2320 0.1101 0.1153  5 Pd 2.65-2.88, 2 Au 2.70-2.92
Pd 0.0562 0.2627 0.0026  1 Cd 2.65, 2 Au 2.70-2.85, 3 Pd 2.80-2.94
Pd 0.1645 0.1676 0.5823  4 Cd 2.80-2.88, 4 Au 2.84-3.12, 3 Pd 2.88-2.94
Au 0.0000 0.0061 0.2500  2 Au 2.65, 4 Pd 2.92-2.94
Au 0.1030 0.4399 0.4361  4 Pd 2.70-3.00, 2 Cd 2.70-2.92, 4 Au 2.89-3.01

## Properties
* energy of formation from the pure elements: -0.125 eV/atom
* final energy: -134.2 eV for the cell shown
* excess energy over the best structure of this formula in the dataset: 127 meV/atom
* crystal system: monoclinic



(15)
Compound: CdPd2Au2
Source: Alexandria via LeMat-Bulk
Functional: PBE
Structure: relaxed

a b c (Å): 7.1551 7.1551 3.6238
angles (deg): 90.00 90.00 90.00
With the nearest neighbours (Å) after each atom.
Space group P4/mbm (No. 127)
Unique sites:
Cd 0.0000 0.0000 0.0000  4 Pd 2.77
Pd 0.1375 0.3625 0.0000  6 Au 2.74-2.79, 2 Cd 2.77, 1 Pd 2.78
Au 0.1590 0.6590 0.5000  6 Pd 2.74-2.79

## Properties
* energy of formation from the pure elements: -0.091 eV/atom
* final energy: -36.6 eV for the cell shown
* excess energy over the best structure of this formula in the dataset: 91 meV/atom
* crystal system: tetragonal



(16)
Compound: Cd2Pd7Au2
Source: Alexandria via LeMat-Bulk
Functional: PBE
Structure: relaxed

a b c (Å): 9.1994 9.3146 4.9951
angles (deg): 90.00 116.56 90.00
With the nearest neighbours (Å) after each atom.
Space group C2/m (No. 12)
Unique sites:
Cd 0.0000 0.1889 0.0000  10 Pd 2.78-3.05
Pd 0.0000 0.0000 0.5000  6 Pd 2.68
Pd 0.1713 0.2441 0.6721  6 Pd 2.68-2.93, 2 Cd 2.78-2.79, 1 Au 2.82
Pd 0.2431 0.5000 0.9575  5 Pd 2.68-2.81, 3 Au 2.72-2.85, 2 Cd 2.88
Au 0.1030 0.5000 0.3363  5 Pd 2.72-2.85, 2 Au 3.01-3.03

## Properties
* energy of formation from the pure elements: -0.096 eV/atom
* final energy: -91.6 eV for the cell shown
* excess energy over the best structure of this formula in the dataset: 24 meV/atom
* crystal system: monoclinic



(17)
Compound: Cd6Pd3Au2
Source: Alexandria via LeMat-Bulk
Functional: PBE
Structure: relaxed

a b c (Å): 4.2517 4.2517 25.7096
angles (deg): 90.00 90.00 90.00
With the nearest neighbours (Å) after each atom.
Space group I4/mmm (No. 139)
Unique sites:
Cd 0.0000 0.0000 0.2421  1 Pd 2.68, 1 Au 2.77
Cd 0.0000 0.5000 0.0677  4 Pd 2.75-2.79, 2 Au 3.00, 4 Cd 3.01
Pd 0.0000 0.0000 0.0000  8 Cd 2.75
Pd 0.0000 0.0000 0.1380  5 Cd 2.68-2.79
Au 0.0000 0.0000 0.3500  5 Cd 2.77-3.00, 4 Pd 3.02

## Properties
* energy of formation from the pure elements: -0.110 eV/atom
* final energy: -57.7 eV for the cell shown
* crystal system: tetragonal



(18)
Compound: Cd8PdAu2
Source: Alexandria via LeMat-Bulk
Functional: PBE
Structure: relaxed

a b c (Å): 18.4745 4.6878 5.6662
angles (deg): 90.00 104.61 90.00
With the nearest neighbours (Å) after each atom.
Space group C2/m (No. 12)
Unique sites:
Cd 0.0272 0.0000 0.2732  2 Pd 2.78, 1 Au 2.87, 2 Cd 2.99-3.00
Cd 0.0880 0.5000 0.9776  1 Pd 2.78, 2 Cd 3.05-3.06, 2 Au 3.10
Cd 0.1520 0.5000 0.5296  1 Pd 2.77, 3 Au 2.93-3.01, 4 Cd 2.99-3.06
Cd 0.2293 0.0000 0.8136  4 Au 2.87-3.05, 4 Cd 2.99-3.12
Pd 0.0000 0.5000 0.5000  8 Cd 2.77-2.78
Au 0.1815 0.0000 0.2569  10 Cd 2.87-3.10

## Properties
* energy of formation from the pure elements: -0.148 eV/atom
* final energy: -41.4 eV for the cell shown
* excess energy over the best structure of this formula in the dataset: 27 meV/atom
* crystal system: monoclinic



(19)
Compound: Cd2Pd2Au3
Source: Alexandria via LeMat-Bulk
Functional: PBE
Structure: relaxed

a b c (Å): 2.9440 6.8212 7.2160
angles (deg): 65.59 89.99 77.74
With the nearest neighbours (Å) after each atom.
Space group P-1 (No. 2)
Unique sites:
Cd 0.1156 0.2664 0.2893  4 Pd 2.86-2.88, 5 Au 2.91-3.02, 2 Cd 2.94
Pd 0.4143 0.6683 0.0719  4 Au 2.79-2.85, 3 Pd 2.84-2.94, 4 Cd 2.86-2.88
Au 0.2054 0.0914 0.7499  3 Pd 2.79-2.85, 3 Cd 2.91-3.02, 4 Au 2.94-2.95
Au 0.5000 0.5000 0.5000  2 Pd 2.81, 6 Au 2.94-2.95, 4 Cd 2.98-2.99

## Properties
* energy of formation from the pure elements: -0.177 eV/atom
* final energy: -23.3 eV for the cell shown
* excess energy over the best structure of this formula in the dataset: 0 meV/atom
* crystal system: triclinic



(20)
Compound: Cd2Pd4Au
Source: Alexandria via LeMat-Bulk
Functional: PBE
Structure: relaxed

a b c (Å): 3.7401 3.7401 18.7329
angles (deg): 90.00 90.00 90.00
With the nearest neighbours (Å) after each atom.
Space group I4/mmm (No. 139)
Unique sites:
Cd 0.0000 0.0000 0.0995  4 Pd 2.77
Pd 0.0000 0.0000 0.3570  1 Au 2.68, 4 Pd 2.74, 4 Cd 2.77
Pd 0.0000 0.5000 0.2500  8 Pd 2.64-2.74
Au 0.0000 0.0000 0.5000  2 Pd 2.68

## Properties
* energy of formation from the pure elements: -0.077 eV/atom
* final energy: -52.8 eV for the cell shown
* excess energy over the best structure of this formula in the dataset: 106 meV/atom
* crystal system: tetragonal